[1]
{"formula": "PaZnFeNi", "functional": "PBE", "state": "optimized geometry", "cell": [[4.459, 0.000, 0.000], [2.229, 3.861, 0.000], [2.229, 1.287, 3.640]], "species": ["Fe", "Zn", "Ni", "Pa"], "frac_coords": [[0.000, 0.000, 0.000], [0.250, 0.250, 0.250], [0.500, 0.500, 0.500], [0.750, 0.750, 0.750]], "vol_a3_per_cell": 62.67, "rho_g_cm3": 10.9, "m_tot_mub_per_cell": 0.638, "dos_at_fermi_per_ev_atom": 1.16, "final_energy_ev_per_atom": -6.352, "ef_ev_per_atom": -0.0981, "crystal_system": "cubic"}

[2]
{"formula": "FeNiPb2", "functional": "PBE", "state": "optimized geometry", "cell": [[0.000, 3.370, 3.370], [3.370, 0.000, 3.370], [3.370, 3.370, 0.000]], "species": ["Fe", "Ni", "Pb", "Pb"], "frac_coords": [[0.000, 0.000, 0.000], [0.500, 0.500, 0.500], [0.750, 0.750, 0.750], [0.250, 0.250, 0.250]], "vol_a3_per_cell": 76.58, "rho_g_cm3": 11.5, "de_polymorph_kj_per_mol_atoms": 24.56, "m_tot_mub_per_cell": 2.637, "dos_at_fermi_per_ev_atom": 0.94, "final_energy_ev_per_atom": -4.895, "ef_ev_per_atom": 0.5197, "crystal_system": "cubic"}

[3]
{"formula": "FeNiPb2", "functional": "PBE", "state": "optimized geometry", "cell": [[3.408, 0.062, 0.000], [-0.573, 3.361, 0.000], [0.000, 0.000, 6.749]], "species": ["Pb", "Ni", "Pb", "Fe"], "frac_coords": [[0.000, 0.000, 0.506], [0.500, 0.500, 0.750], [0.000, 0.000, 0.994], [0.500, 0.500, 0.250]], "vol_a3_per_cell": 77.54, "rho_g_cm3": 11.3, "de_polymorph_kj_per_mol_atoms": 23.67, "m_tot_mub_per_cell": 2.677, "dos_at_fermi_per_ev_atom": 1.15, "final_energy_ev_per_atom": -4.905, "ef_ev_per_atom": 0.5105, "crystal_system": "orthorhombic"}